[1]
A relaxed Li5Tc crystal, computed with PBE.

Lattice parameters (Å, degrees): 4.8820 4.8820 4.6381 90.00 90.00 120.00
Last column: nearest neighbours and their distance in Å.
Fractional coordinates of all 6 atoms:
Li 0.0000 0.6749 0.0000  10 Li 2.75-2.85, 2 Tc 2.81
Li 0.3251 0.3251 0.0000  10 Li 2.75-2.85, 2 Tc 2.81
Li 0.3333 0.6667 0.5000  3 Tc 2.82, 9 Li 2.82-2.84
Li 0.6667 0.3333 0.5000  3 Tc 2.82, 9 Li 2.82-2.84
Li 0.6749 0.0000 0.0000  10 Li 2.75-2.85, 2 Tc 2.81
Tc 0.0000 0.0000 0.5000  12 Li 2.81-2.82

Calculated values
Energy of formation from the pure elements: 9.47 kcal/mol of atoms
Total energy: -2.91 eV/atom
Density of states at the Fermi level: 4.3 states/eV/cell
Distance to the lowest polymorph of the same formula: 26.3 kJ/mol of atoms
Space group: P-62m



[2]
A relaxed LiTc5 crystal, computed with PBE.

Lattice parameters (Å, degrees): 6.8850 6.8850 2.9943 90.00 90.00 142.54
Last column: nearest neighbours and their distance in Å.
Fractional coordinates of all 6 atoms:
Li 0.0000 0.0000 0.0000  8 Tc 2.67-2.73
Tc 0.1751 0.8249 0.5000  8 Tc 2.66-2.95, 2 Li 2.73
Tc 0.3437 0.6563 0.0000  8 Tc 2.53-2.68
Tc 0.5000 0.5000 0.5000  4 Tc 2.53, 4 Li 2.67
Tc 0.6563 0.3437 0.0000  8 Tc 2.53-2.68
Tc 0.8249 0.1751 0.5000  8 Tc 2.66-2.95, 2 Li 2.73

Calculated values
Energy of formation from the pure elements: 5.75 kcal/mol of atoms
Total energy: -8.71 eV/atom
Density of states at the Fermi level: 5.0 states/eV/cell
Distance to the lowest polymorph of the same formula: 13.5 kJ/mol of atoms
Space group: Cmmm



[3]
A relaxed LiTc2Te crystal, computed with PBE.

Lattice parameters (Å, degrees): 9.0750 9.0750 9.0750 19.20 19.20 19.20
Last column: nearest neighbours and their distance in Å.
Fractional coordinates of all 4 atoms:
Li 0.0000 0.0000 0.0000  3 Tc 2.88, 3 Te 2.98, 6 Li 3.03
Tc 0.4873 0.4873 0.4873  3 Tc 2.53
Tc 0.7521 0.7521 0.7521  3 Tc 2.53
Te 0.2430 0.2430 0.2430  3 Tc 2.95, 3 Li 2.98, 6 Te 3.03

Calculated values
Total energy: -6.14 eV/atom
Density of states at the Fermi level: 2.7 states/eV/cell
E_form (uncorrected): 0.3046 eV/atom
Space group: R3m



[4]
A relaxed Li2TcTe crystal, computed with PBE.

Lattice parameters (Å, degrees): 3.1509 4.7375 4.5783 90.00 93.39 90.00
Last column: nearest neighbours and their distance in Å.
Fractional coordinates of all 4 atoms:
Li 0.2176 0.0000 0.2304  1 Li 2.45
Li 0.7824 0.0000 0.7696  1 Li 2.45
Tc 0.5000 0.5000 0.0000  4 Te 2.70-2.85, 4 Li 2.76
Te 0.0000 0.5000 0.5000  4 Tc 2.70-2.85, 4 Li 2.78

Calculated values
Total energy: -4.19 eV/atom
Density of states at the Fermi level: 2.7 states/eV/cell
E_form (uncorrected): 0.1461 eV/atom
Space group: P2/m



[5]
A relaxed LiTcTe2 crystal, computed with PBE.

Lattice parameters (Å, degrees): 4.2039 4.2039 6.7266 101.25 101.25 49.42
Last column: nearest neighbours and their distance in Å.
Fractional coordinates of all 4 atoms:
Li 0.0000 0.0000 0.0000  6 Te 2.89-2.99
Tc 0.5000 0.5000 0.5000  6 Te 2.72-2.74
Te 0.2398 0.2398 0.7209  3 Tc 2.72-2.74, 3 Li 2.89-2.99
Te 0.7602 0.7602 0.2791  3 Tc 2.72-2.74, 3 Li 2.89-2.99

Calculated values
Total energy: -4.83 eV/atom
Density of states at the Fermi level: 2.0 states/eV/cell
Distance to the lowest polymorph of the same formula: 1.0 kJ/mol of atoms
E_form (uncorrected): -0.1895 eV/atom
Space group: C2/m



[6]
A relaxed LiTc2Te crystal, computed with PBE.

Lattice parameters (Å, degrees): 3.0298 3.8120 6.0224 90.00 101.09 90.00
Last column: nearest neighbours and their distance in Å.
Fractional coordinates of all 4 atoms:
Li 0.0000 0.0000 0.0000  5 Tc 2.66-2.91, 4 Te 2.73
Tc 0.3149 0.0000 0.4443  2 Tc 2.48, 1 Li 2.66
Tc 0.6225 0.5000 0.2590  2 Tc 2.48, 1 Te 2.77
Te 0.4205 0.5000 0.7906  4 Li 2.73, 3 Tc 2.77-2.80, 2 Te 3.03

Calculated values
Total energy: -6.22 eV/atom
Density of states at the Fermi level: 3.4 states/eV/cell
E_form (uncorrected): 0.2250 eV/atom
Space group: Pm



[7]
A relaxed Li2TcTe crystal, computed with PBE.

Lattice parameters (Å, degrees): 5.2076 5.2076 2.9156 90.00 90.00 118.93
Last column: nearest neighbours and their distance in Å.
Fractional coordinates of all 4 atoms:
Li 0.0000 0.5000 0.0000  4 Li 2.65-2.92
Li 0.5000 0.0000 0.0000  4 Li 2.65-2.92
Tc 0.0000 0.0000 0.5000  2 Te 2.65, 2 Tc 2.92
Te 0.5000 0.5000 0.5000  2 Tc 2.65, 2 Te 2.92

Calculated values
Total energy: -4.18 eV/atom
Density of states at the Fermi level: 2.5 states/eV/cell
E_form (uncorrected): 0.1551 eV/atom
Space group: Cmmm



[8]
A relaxed LiTcTe2 crystal, computed with PBE.

Lattice parameters (Å, degrees): 3.6028 5.3093 4.7335 90.00 102.72 90.00
Last column: nearest neighbours and their distance in Å.
Fractional coordinates of all 4 atoms:
Li 0.0000 0.0000 0.0000  5 Te 2.68-2.77
Tc 0.3472 0.5000 0.7535  5 Te 2.59-2.85
Te 0.3750 0.0000 0.5709  3 Li 2.68-2.74, 2 Tc 2.80
Te 0.9620 0.5000 0.1590  3 Tc 2.59-2.85, 2 Li 2.77

Calculated values
Total energy: -4.69 eV/atom
Density of states at the Fermi level: 2.4 states/eV/cell
Distance to the lowest polymorph of the same formula: 14.9 kJ/mol of atoms
E_form (uncorrected): -0.0464 eV/atom
Space group: Pm